DFT (GGA-PBE) results for a geometry-optimized HfRe2As2 structure.

a b c (Å): 4.490 4.490 5.525
angles (deg): 66.02 66.02 90.00
Fractional positions:
Re  0.371  0.371  0.258
Re  0.629  0.629  0.742
As  0.750  0.250  0.500
As  0.250  0.750  0.500
Hf  0.000  0.000  0.000

Output
- magnetization (μB/atom) = 0.000
- E_form (eV per atom) = 0.170